Material: BaHgAsSe2
Method: DFT, PBE
State: relaxed

Cell and atoms, written as POSCAR:
```
BaHgAsSe2
1.0
5.463 0.000 0.000
0.000 5.463 0.000
0.000 0.000 5.143
Ba Hg As Se
1 1 1 2
direct
0.000 0.000 0.000 Ba
0.500 0.500 0.500 Hg
0.500 0.500 0.000 As
0.000 0.500 0.500 Se
0.500 0.000 0.500 Se
```

Energy above the most stable polymorph in this dataset: 0.0 meV per atom
Total energy: -3.084 eV per atom
ΔE_f (raw): -0.32 eV per atom

Material: BaHgAsSe2
Method: DFT, PBE
State: relaxed

Cell and atoms, written as POSCAR:
```
BaHgAsSe2
1.0
6.349 0.000 0.000
0.000 6.349 0.000
0.000 0.000 6.952
Ba Hg As Se
1 1 1 2
direct
0.000 0.000 0.000 Ba
0.500 0.500 0.500 Hg
0.000 0.000 0.500 As
0.000 0.500 0.000 Se
0.500 0.000 0.000 Se
```

Energy above the most stable polymorph in this dataset: 722.8 meV per atom
Total energy: -2.361 eV per atom
ΔE_f (raw): 0.41 eV per atom

Material: BaSnHg2As
Method: DFT, PBE
State: relaxed

Cell and atoms, written as POSCAR:
```
BaSnHg2As
1.0
5.558 0.000 0.000
0.000 5.558 0.000
0.000 0.000 5.566
Ba Sn Hg As
1 1 2 1
direct
0.000 0.000 0.000 Ba
0.500 0.500 0.500 Sn
0.000 0.500 0.500 Hg
0.500 0.000 0.500 Hg
0.500 0.500 0.000 As
```

Energy of formation: -0.19 eV/atom
Total energy: -2.428 eV per atom